## CaHg3 (PBEsol)

Data for an optimized crystal structure of CaHg3.

```
8
Lattice="6.546 0.000 0.000 -3.273 5.669 0.000 0.000 0.000 5.025" Properties=species:S:1:pos:R:3 pbc="T T T"
Ca 0.000 3.779 1.256
Ca 3.273 1.890 3.769
Hg 0.000 1.845 3.769
Hg -1.675 4.746 3.769
Hg 1.598 0.923 1.256
Hg 1.675 4.746 3.769
Hg 4.948 0.923 1.256
Hg 3.273 3.824 1.256
```

Results
DFT total energy	-11.4	eV/cell
volume	186	Å³/cell
calculated formation energy	-465	meV/atom